# CePdRh2

An optimized crystal structure of CePdRh2 (PBE, the Alexandria database).

a = 6.528 Å, b = 6.528 Å, c = 6.528 Å
α = 90.00°, β = 90.00°, γ = 90.00°
Space group Fm-3m (No. 225)
Symmetry-distinct sites (fractional):
Ce 0.000 0.000 0.000 (multiplicity 4)
Pd 0.000 0.000 0.500 (multiplicity 4)
Rh 0.250 0.250 0.250 (multiplicity 8)

Calculated values
E_form	-0.5365	eV per atom


# Li2MnH6Pt

An optimized crystal structure of Li2MnH6Pt (PBE, the Alexandria database).

a = 4.854 Å, b = 6.890 Å, c = 5.070 Å
α = 90.00°, β = 90.00°, γ = 90.00°
Space group Pmmn (No. 59, origin choice 2)
Symmetry-distinct sites (fractional):
Li 0.250 0.026 0.207 (multiplicity 4)
Mn 0.250 0.250 0.717 (multiplicity 2)
H 0.014 0.250 0.984 (multiplicity 4)
H 0.021 0.250 0.453 (multiplicity 4)
H 0.250 0.007 0.804 (multiplicity 4)
Pt 0.250 0.750 0.774 (multiplicity 2)


# Rb2TaOs

An optimized crystal structure of Rb2TaOs (PBE, the Alexandria database).

a = 7.578 Å, b = 7.578 Å, c = 7.578 Å
α = 90.00°, β = 90.00°, γ = 90.00°
Space group Fm-3m (No. 225)
Symmetry-distinct sites (fractional):
Rb 0.250 0.250 0.250 (multiplicity 8)
Ta 0.000 0.000 0.000 (multiplicity 4)
Os 0.000 0.000 0.500 (multiplicity 4)

Calculated values
E_form	2.8937	eV per atom


# PdRh2BrO

An optimized crystal structure of PdRh2BrO (PBE, the Alexandria database).

a = 3.889 Å, b = 3.889 Å, c = 5.950 Å
α = 90.00°, β = 90.00°, γ = 90.00°
Space group P4/mmm (No. 123)
Symmetry-distinct sites (fractional):
Pd 0.000 0.000 0.000 (multiplicity 1)
Rh 0.000 0.500 0.500 (multiplicity 2)
Br 0.500 0.500 0.000 (multiplicity 1)
O 0.500 0.500 0.500 (multiplicity 1)

Calculated values
E_form (uncorrected)	8.5	kcal/mol of atoms


Number 1: electronic total energy -6.994 eV per atom, mass density 10.80 Mg/m³. Number 2: electronic total energy -4.044 eV per atom, mass density 5.29 Mg/m³. Number 3: electronic total energy -3.361 eV per atom, mass density 8.27 Mg/m³. Number 4: electronic total energy -4.939 eV per atom, mass density 7.53 Mg/m³.